BaPaPN4 (PBE, optimized geometry); energy = -8.31 eV per atom; N(E_F) = 0.0 states/eV per cell
1.0
-0.809 -4.617 2.979
5.179 -1.741 -1.290
2.864 5.111 4.602
Ba Pa N P
2 2 8 2
direct
0.712 0.750 0.925
0.288 0.250 0.075
0.767 0.750 0.451
0.233 0.250 0.549
0.414 0.750 0.193
0.960 0.018 0.691
0.040 0.518 0.309
0.960 0.482 0.691
0.575 0.250 0.449
0.425 0.750 0.551
0.040 0.982 0.309
0.586 0.250 0.807
0.769 0.250 0.668
0.231 0.750 0.332